[1]
{
  "formula": "CsCoAg2",
  "functional": "PBE",
  "state": "optimized geometry",
  "magmom_total_mub_per_cell": 3.63,
  "e_form_ev_per_fu": 2.48,
  "lattice": [[-5.3069, -1.5257, -0.7385], [1.3716, -5.2914, 1.0752], [-3.5253, -2.0911, 8.6391]],
  "species": ["Cs", "Cs", "Co", "Co", "Ag", "Ag", "Ag", "Ag"],
  "fractional_positions": [[0.0000, 0.0000, 0.0000], [0.7500, 0.2500, 0.5000], [0.5000, 0.5000, 0.0000], [0.2500, 0.7500, 0.5000], [0.3752, 0.1250, 0.2500], [0.3748, 0.6250, 0.2500], [0.3750, 0.6248, 0.7500], [0.8750, 0.6252, 0.7500]]
}

[2]
{
  "formula": "CsCo3Ag",
  "functional": "PBE",
  "state": "optimized geometry",
  "relative_energy_mev_per_atom": 866.5,
  "magmom_total_mub_per_cell": 1.84,
  "e_form_ev_per_fu": 11.99,
  "lattice": [[4.6838, 0.0000, 0.0000], [0.0000, 4.6838, 0.0000], [0.0000, 0.0000, 4.6838]],
  "species": ["Cs", "Co", "Co", "Co", "Ag"],
  "fractional_positions": [[0.0000, 0.0000, 0.0000], [0.0000, 0.5000, 0.0000], [0.0000, 0.0000, 0.5000], [0.5000, 0.0000, 0.0000], [0.5000, 0.5000, 0.5000]]
}

[3]
{
  "formula": "CsCo2Ag",
  "functional": "PBE",
  "state": "optimized geometry",
  "magmom_total_mub_per_cell": 1.99,
  "e_form_ev_per_fu": 6.03,
  "lattice": [[0.0000, 3.3502, 3.3502], [3.3502, 0.0000, 3.3502], [3.3502, 3.3502, 0.0000]],
  "species": ["Cs", "Co", "Co", "Ag"],
  "fractional_positions": [[0.5000, 0.5000, 0.5000], [0.2500, 0.2500, 0.2500], [0.7500, 0.7500, 0.7500], [0.0000, 0.0000, 0.0000]]
}